(1)
# LiCd2Ni

A crystal of LiCd2Ni relaxed with PBEsol (meta-GGA SCAN, Alexandria via LeMat-Bulk).

Calculated density in g/cm3: 7.8
Magnetization in μB per atom: 0.094
Excess energy over the best structure of this formula in the dataset in meV per atom: 28
VASP energy in eV per atom: -19.94
Space group: Pmmm
ΔE_f in eV/atom: -0.09

The structure in CIF format:
```
data_LiCd2Ni
_chemical_formula_sum 'Li1 Cd2 Ni1'
_cell_length_a 3.090
_cell_length_b 3.105
_cell_length_c 6.475
_cell_angle_alpha 90.00
_cell_angle_beta 90.00
_cell_angle_gamma 90.00
_symmetry_space_group_name_H-M 'P 1'
_symmetry_Int_Tables_number 1
loop_
_symmetry_equiv_pos_as_xyz
'x,y,z'
loop_
_atom_site_label
_atom_site_type_symbol
_atom_site_fract_x
_atom_site_fract_y
_atom_site_fract_z
Li1 Li 0.000 0.000 0.000
Cd1 Cd 0.500 0.500 0.263
Cd2 Cd 0.500 0.500 0.737
Ni1 Ni 0.000 0.000 0.500
```



(2)
# YScW2Se

A crystal of YScW2Se relaxed with PBEsol (meta-GGA SCAN, Alexandria via LeMat-Bulk).

Calculated density in g/cm3: 9.1
Magnetization in μB per atom: 0.000
VASP energy in eV per atom: -39.66
Raw formation energy in eV per atom: 0.65
Space group: P4/mmm

The structure in CIF format:
```
data_YScW2Se
_chemical_formula_sum 'Y1 Sc1 W2 Se1'
_cell_length_a 4.673
_cell_length_b 4.673
_cell_length_c 4.853
_cell_angle_alpha 90.00
_cell_angle_beta 90.00
_cell_angle_gamma 90.00
_symmetry_space_group_name_H-M 'P 1'
_symmetry_Int_Tables_number 1
loop_
_symmetry_equiv_pos_as_xyz
'x,y,z'
loop_
_atom_site_label
_atom_site_type_symbol
_atom_site_fract_x
_atom_site_fract_y
_atom_site_fract_z
Y1 Y 0.000 0.000 0.000
Sc1 Sc 0.500 0.500 0.000
W1 W 0.000 0.500 0.500
W2 W 0.500 0.000 0.500
Se1 Se 0.500 0.500 0.500
```



(3)
# CuAs2W

A crystal of CuAs2W relaxed with PBEsol (meta-GGA SCAN, Alexandria via LeMat-Bulk).

Calculated density in g/cm3: 10.8
Magnetization in μB per atom: 0.000
Excess energy over the best structure of this formula in the dataset in meV per atom: 351
VASP energy in eV per atom: -30.70
Space group: Pmmm
ΔE_f in eV/atom: 0.62

The structure in CIF format:
```
data_CuAs2W
_chemical_formula_sum 'Cu1 As2 W1'
_cell_length_a 3.289
_cell_length_b 3.898
_cell_length_c 4.773
_cell_angle_alpha 90.00
_cell_angle_beta 90.00
_cell_angle_gamma 90.00
_symmetry_space_group_name_H-M 'P 1'
_symmetry_Int_Tables_number 1
loop_
_symmetry_equiv_pos_as_xyz
'x,y,z'
loop_
_atom_site_label
_atom_site_type_symbol
_atom_site_fract_x
_atom_site_fract_y
_atom_site_fract_z
Cu1 Cu 0.000 0.000 0.000
As1 As 0.000 0.500 0.500
As2 As 0.500 0.500 0.000
W1 W 0.500 0.000 0.500
```



(4)
# Zr5Re

A crystal of Zr5Re relaxed with PBEsol (meta-GGA SCAN, Alexandria via LeMat-Bulk).

Calculated density in g/cm3: 8.7
Magnetization in μB per atom: 0.000
VASP energy in eV per atom: -37.55
Space group: C2/m
ΔE_f in eV/atom: -0.12

The structure in CIF format:
```
data_Zr5Re
_chemical_formula_sum 'Zr5 Re1'
_cell_length_a 5.715
_cell_length_b 5.715
_cell_length_c 7.253
_cell_angle_alpha 108.94
_cell_angle_beta 108.94
_cell_angle_gamma 33.58
_symmetry_space_group_name_H-M 'P 1'
_symmetry_Int_Tables_number 1
loop_
_symmetry_equiv_pos_as_xyz
'x,y,z'
loop_
_atom_site_label
_atom_site_type_symbol
_atom_site_fract_x
_atom_site_fract_y
_atom_site_fract_z
Zr1 Zr 0.000 0.000 0.000
Zr2 Zr 0.337 0.337 0.193
Zr3 Zr 0.352 0.352 0.647
Zr4 Zr 0.648 0.648 0.353
Zr5 Zr 0.663 0.663 0.807
Re1 Re 0.000 0.000 0.500
```



(5)
# AlAg3

A crystal of AlAg3 relaxed with PBEsol (meta-GGA SCAN, Alexandria via LeMat-Bulk).

Calculated density in g/cm3: 9.0
Magnetization in μB per atom: 0.000
VASP energy in eV per atom: -25.56
Space group: Imm2
ΔE_f in eV/atom: -0.09

The structure in CIF format:
```
data_AlAg3
_chemical_formula_sum 'Al1 Ag3'
_cell_length_a 5.389
_cell_length_b 5.389
_cell_length_c 5.389
_cell_angle_alpha 148.26
_cell_angle_beta 62.64
_cell_angle_gamma 127.53
_symmetry_space_group_name_H-M 'P 1'
_symmetry_Int_Tables_number 1
loop_
_symmetry_equiv_pos_as_xyz
'x,y,z'
loop_
_atom_site_label
_atom_site_type_symbol
_atom_site_fract_x
_atom_site_fract_y
_atom_site_fract_z
Al1 Al 0.000 0.000 0.000
Ag1 Ag 0.116 0.376 0.740
Ag2 Ag 0.491 0.991 0.500
Ag3 Ag 0.636 0.376 0.260
```



(6)
# RbCu2Br

A crystal of RbCu2Br relaxed with PBEsol (meta-GGA SCAN, Alexandria via LeMat-Bulk).

Calculated density in g/cm3: 5.4
Magnetization in μB per atom: 0.000
VASP energy in eV per atom: -16.99
Raw formation energy in eV per atom: 0.66
Space group: Fm-3m

The structure in CIF format:
```
data_RbCu2Br
_chemical_formula_sum 'Rb1 Cu2 Br1'
_cell_length_a 5.038
_cell_length_b 5.038
_cell_length_c 5.038
_cell_angle_alpha 60.00
_cell_angle_beta 60.00
_cell_angle_gamma 60.00
_symmetry_space_group_name_H-M 'P 1'
_symmetry_Int_Tables_number 1
loop_
_symmetry_equiv_pos_as_xyz
'x,y,z'
loop_
_atom_site_label
_atom_site_type_symbol
_atom_site_fract_x
_atom_site_fract_y
_atom_site_fract_z
Rb1 Rb 0.000 0.000 0.000
Cu1 Cu 0.250 0.250 0.250
Cu2 Cu 0.750 0.750 0.750
Br1 Br 0.500 0.500 0.500
```